The following is a DFT calculation (meta-GGA SCAN) of a crystal of CdHgOs2 relaxed with PBEsol.

a = 3.210 Å, b = 3.210 Å, c = 6.364 Å
α = 90.00°, β = 90.00°, γ = 90.00°
Positions (direct):
Cd 0.000 0.000 0.000
Hg 0.000 0.000 0.500
Os 0.500 0.500 0.249
Os 0.500 0.500 0.751

Calculated values
- D(E_F): 2.4 states/eV per cell
- Energy of formation: 4.9 eV per formula unit